Entry 1:
Fe2CoCu | PBE | optimized geometry

a = 2.5219 Å, b = 2.5219 Å, c = 7.2805 Å
α = 90.00°, β = 90.00°, γ = 90.00°
Fractional coordinates of all 4 atoms:
Fe 0.0000 0.0000 0.2396
Fe 0.0000 0.0000 0.7604
Co 0.5000 0.5000 0.0000
Cu 0.5000 0.5000 0.5000

Properties
D(E_F) = 3.8 states/eV/cell
energy of formation from the pure elements = 2.15 kcal/mol of atoms
crystal system = tetragonal

Entry 2:
BCl2O | PBE | optimized geometry

a = 6.7156 Å, b = 6.7156 Å, c = 6.7156 Å
α = 35.93°, β = 35.93°, γ = 35.93°
Fractional coordinates of all 4 atoms:
B 0.0000 0.0000 0.0000
Cl 0.0861 0.0861 0.0861
Cl 0.9139 0.9139 0.9139
O 0.5000 0.5000 0.5000

Properties
D(E_F) = 0.0 states/eV/cell
crystal system = trigonal
uncorrected formation energy = 1.892 eV per formula unit

Summary of VASP energy in eV/atom
-6.94; -3.36
(order as listed above)
Summary of M_tot in μB per formula unit
6.5; 1.0
(order as listed above)
Summary of energy above the most stable polymorph in this dataset in meV/atom
26; 0
(order as listed above)